1.
A plane-wave DFT calculation with PBE was carried out for an optimized crystal structure of Cu3Si2.

a b c (Å): 3.9848 3.9848 5.0299
angles (deg): 90.00 90.00 120.00
Sites, in units of the cell vectors:
Cu (0.0000, 0.0000, 0.0000)
Cu (0.3333, 0.6667, 0.3279)
Cu (0.6667, 0.3333, 0.6721)
Si (0.3333, 0.6667, 0.8058)
Si (0.6667, 0.3333, 0.1942)

Computed properties:
Relative energy among the computed polymorphs   0.51 eV/f.u.
Formation energy without anion corrections   144 meV/atom
Space-group type   P-3m1 (164)
Uncorrected energy   -22.41 eV per cell
Theoretical density   5.9 g cm⁻³



2.
A plane-wave DFT calculation with PBE was carried out for an optimized crystal structure of ScGeW3.

a b c (Å): 4.6459 4.6459 4.6459
angles (deg): 90.00 90.00 90.00
Sites, in units of the cell vectors:
Sc (0.0000, 0.0000, 0.0000)
Ge (0.5000, 0.5000, 0.5000)
W (0.0000, 0.5000, 0.5000)
W (0.5000, 0.0000, 0.5000)
W (0.5000, 0.5000, 0.0000)

Computed properties:
Relative energy among the computed polymorphs   0.00 eV/f.u.
Space-group type   Pm-3m (221)
Uncorrected energy   -43.42 eV per cell
Theoretical density   11.1 g cm⁻³



3.
A plane-wave DFT calculation with PBE was carried out for an optimized crystal structure of Tb2PrAlPd4.

a b c (Å): 8.7594 8.7594 8.7594
angles (deg): 31.98 31.98 31.98
Sites, in units of the cell vectors:
Tb (0.2424, 0.2424, 0.2424)
Tb (0.7576, 0.7576, 0.7576)
Pr (0.0000, 0.0000, 0.0000)
Al (0.5000, 0.5000, 0.5000)
Pd (0.1293, 0.1293, 0.1293)
Pd (0.3947, 0.3947, 0.3947)
Pd (0.6053, 0.6053, 0.6053)
Pd (0.8707, 0.8707, 0.8707)

Computed properties:
Space-group type   R-3m (166)
Uncorrected energy   -44.91 eV per cell
Theoretical density   9.0 g cm⁻³



4.
A plane-wave DFT calculation with PBE was carried out for an optimized crystal structure of ReAgB3.

a b c (Å): 4.0648 4.0648 4.0648
angles (deg): 90.00 90.00 90.00
Sites, in units of the cell vectors:
Re (0.0000, 0.0000, 0.0000)
Ag (0.5000, 0.5000, 0.5000)
B (0.0000, 0.5000, 0.5000)
B (0.5000, 0.0000, 0.5000)
B (0.5000, 0.5000, 0.0000)

Computed properties:
Relative energy among the computed polymorphs   7.64 eV/f.u.
Space-group type   Pm-3m (221)
Uncorrected energy   -22.38 eV per cell
Theoretical density   8.1 g cm⁻³



5.
A plane-wave DFT calculation with PBE was carried out for an optimized crystal structure of La3PrPb4.

a b c (Å): 5.2034 5.2034 9.9786
angles (deg): 105.05 105.05 90.03
Sites, in units of the cell vectors:
La (0.0000, 0.0000, 0.0000)
La (0.2513, 0.2513, 0.5027)
La (0.7487, 0.7487, 0.4973)
Pr (0.5000, 0.5000, 0.0000)
Pb (0.1244, 0.6246, 0.2491)
Pb (0.3754, 0.8756, 0.7509)
Pb (0.6246, 0.1244, 0.2491)
Pb (0.8756, 0.3754, 0.7509)

Computed properties:
Relative energy among the computed polymorphs   0.00 eV/f.u.
Space-group type   C2/m (12)
Uncorrected energy   -38.94 eV per cell
Theoretical density   9.2 g cm⁻³



6.
A plane-wave DFT calculation with PBE was carried out for an optimized crystal structure of NaAsS2O8.

a b c (Å): 4.9161 4.9161 7.8472
angles (deg): 90.00 90.00 120.00
Sites, in units of the cell vectors:
Na (0.0000, 0.0000, 0.0000)
As (0.0000, 0.0000, 0.5000)
S (0.3333, 0.6667, 0.7374)
S (0.6667, 0.3333, 0.2626)
O (0.0605, 0.3649, 0.6721)
O (0.3044, 0.9395, 0.6721)
O (0.3333, 0.6667, 0.9231)
O (0.3649, 0.3044, 0.3279)
O (0.6351, 0.6956, 0.6721)
O (0.6667, 0.3333, 0.0769)
O (0.6956, 0.0605, 0.3279)
O (0.9395, 0.6351, 0.3279)

Computed properties:
Formation energy without anion corrections   -1320 meV/atom
Space-group type   P-3 (147)
Uncorrected energy   -69.73 eV per cell
Theoretical density   2.9 g cm⁻³



7.
A plane-wave DFT calculation with PBE was carried out for an optimized crystal structure of TmBiH.

a b c (Å): 6.1882 6.1882 6.7218
angles (deg): 122.53 122.53 35.94
Sites, in units of the cell vectors:
Tm (0.2055, 0.2055, 0.1592)
Tm (0.7945, 0.7945, 0.8408)
Bi (0.4727, 0.4727, 0.7177)
Bi (0.5273, 0.5273, 0.2823)
H (0.2178, 0.2178, 0.8541)
H (0.7822, 0.7822, 0.1459)

Computed properties:
Relative energy among the computed polymorphs   0.00 eV/f.u.
Space-group type   C2/m (12)
Uncorrected energy   -26.94 eV per cell
Theoretical density   10.1 g cm⁻³



8.
A plane-wave DFT calculation with PBE was carried out for an optimized crystal structure of PdPtO4.

a b c (Å): 5.5552 4.6049 5.5465
angles (deg): 90.00 110.21 90.00
Sites, in units of the cell vectors:
Pd (0.0000, 0.0000, 0.0000)
Pd (0.0000, 0.5000, 0.5000)
Pt (0.5000, 0.0000, 0.5000)
Pt (0.5000, 0.5000, 0.0000)
O (0.1833, 0.2395, 0.3193)
O (0.1833, 0.2605, 0.8193)
O (0.3202, 0.7456, 0.6828)
O (0.3202, 0.7544, 0.1828)
O (0.6798, 0.2456, 0.8172)
O (0.6798, 0.2544, 0.3172)
O (0.8167, 0.7395, 0.1807)
O (0.8167, 0.7605, 0.6807)

Computed properties:
Formation energy without anion corrections   -393 meV/atom
Space-group type   P2_1/c (14)
Uncorrected energy   -66.85 eV per cell
Theoretical density   9.1 g cm⁻³



Q: Number 5 is which compound?
A: La3PrPb4